First-principles (PBE+U) data for a relaxed NaCoMoO4 crystal, as listed in Alexandria via LeMat-Bulk.

Summary:
* magnetization: 4.000 μB/cell
* SG: No. 11
* density: 3.57 g/cm³
* raw total energy: -0.446 Ry/atom

Cell lengths 5.9901, 6.0601, 6.5739 Å; angles 90.00, 109.32, 90.00 degrees
Site moments in Bohr magnetons follow the coordinates.
Fractional coordinates of all 14 atoms:
Mo  0.7086  0.2500  0.6590  -0.16
O  0.8915  0.4949  0.7457  0.01
Co  0.7284  0.7500  0.5354  2.05
O  0.5759  0.2500  0.3659  0.03
O  0.4241  0.7500  0.6341  0.03
Na  0.2622  0.2500  0.0140  0.00
O  0.1085  0.9949  0.2543  0.01
Mo  0.2914  0.7500  0.3410  -0.16
O  0.1085  0.5051  0.2543  0.01
O  0.4683  0.2500  0.7787  0.01
Co  0.2716  0.2500  0.4646  2.05
O  0.5317  0.7500  0.2213  0.01
O  0.8915  0.0051  0.7457  0.01
Na  0.7378  0.7500  0.9860  0.00